(1)
The following is a DFT calculation (PBE-GGA) of Eu2Ho after structural relaxation.

Cell lengths 3.720, 3.720, 8.495 Å; angles 102.65, 102.65, 90.00 degrees
Fractional positions:
Eu 0.661 0.661 0.322
Ho 0.000 0.000 0.000
Eu 0.339 0.339 0.678

M_tot ... 15.17 μB/f.u.
Raw total energy ... -24.852 eV per formula unit
Formation enthalpy at 0 K ... 26 kJ/mol of formula units
ΔE to the lowest computed polymorph ... 0.000 eV/atom

***

(2)
The following is a DFT calculation (PBE-GGA) of Eu5Ho after structural relaxation.

Cell lengths 4.186, 6.173, 9.653 Å; angles 108.65, 90.00, 90.00 degrees
Fractional positions:
Ho 0.000 0.000 0.000
Eu 0.500 0.839 0.679
Eu 0.000 0.665 0.330
Eu 0.000 0.335 0.670
Eu 0.500 0.161 0.321
Eu 0.500 0.500 0.000

M_tot ... 7.18 μB/f.u.
Raw total energy ... -55.432 eV per formula unit
Formation enthalpy at 0 K ... 50 kJ/mol of formula units

***

(3)
The following is a DFT calculation (PBE-GGA) of Eu3Ho after structural relaxation.

Cell lengths 6.001, 6.001, 6.001 Å; angles 60.00, 60.00, 60.00 degrees
Fractional positions:
Ho 0.500 0.500 0.500
Eu 0.000 0.000 0.000
Eu 0.250 0.250 0.250
Eu 0.750 0.750 0.750

M_tot ... 7.32 μB/f.u.
Raw total energy ... -34.934 eV per formula unit
Formation enthalpy at 0 K ... 45 kJ/mol of formula units
ΔE to the lowest computed polymorph ... 0.022 eV/atom

***

(4)
The following is a DFT calculation (PBE-GGA) of Eu2Ho after structural relaxation.

Cell lengths 6.845, 6.845, 6.845 Å; angles 60.00, 60.00, 60.00 degrees
Fractional positions:
Eu 0.625 0.625 0.125
Ho 0.250 0.250 0.250
Eu 0.125 0.625 0.625
Ho 0.000 0.000 0.000
Eu 0.625 0.125 0.625
Eu 0.625 0.625 0.625

M_tot ... 15.45 μB/f.u.
Raw total energy ... -24.188 eV per formula unit
Formation enthalpy at 0 K ... 91 kJ/mol of formula units
ΔE to the lowest computed polymorph ... 0.222 eV/atom

***

(5)
The following is a DFT calculation (PBE-GGA) of Eu3Ho after structural relaxation.

Cell lengths 5.361, 5.361, 6.528 Å; angles 114.24, 114.24, 90.00 degrees
Fractional positions:
Ho 0.000 0.000 0.000
Eu 0.500 0.500 0.000
Eu 0.250 0.750 0.500
Eu 0.750 0.250 0.500

M_tot ... 22.63 μB/f.u.
Raw total energy ... -35.009 eV per formula unit
Formation enthalpy at 0 K ... 38 kJ/mol of formula units
ΔE to the lowest computed polymorph ... 0.003 eV/atom

***

(6)
The following is a DFT calculation (PBE-GGA) of Eu3Ho after structural relaxation.

Cell lengths 7.610, 7.610, 6.113 Å; angles 90.00, 90.00, 120.00 degrees
Fractional positions:
Ho 0.333 0.667 0.750
Eu 0.830 0.170 0.750
Ho 0.667 0.333 0.250
Eu 0.340 0.170 0.750
Eu 0.830 0.660 0.750
Eu 0.170 0.830 0.250
Eu 0.660 0.830 0.250
Eu 0.170 0.340 0.250

M_tot ... 22.55 μB/f.u.
Raw total energy ... -35.021 eV per formula unit
Formation enthalpy at 0 K ... 37 kJ/mol of formula units
ΔE to the lowest computed polymorph ... 0.000 eV/atom